--- one ---
Pm2YHg4 | PBE-GGA | optimized geometry

## Properties
* Fermi-level density of states: 0.996 states/eV/atom
* calculated volume: 35.5 A^3/atom
* ρ: 7.9 g/cm3

Lattice parameters (Å, degrees): 5.6469 5.6469 8.7623 108.80 108.80 90.00
Last column: nearest neighbours and their distance in Å.
Atoms (fractional coordinates):
Pm  0.6049  0.6049  0.2099  5 Hg 3.13-3.26, 1 Pm 3.27
Pm  0.3951  0.3951  0.7901  5 Hg 3.13-3.26, 1 Pm 3.27
Y  0.0000  0.0000  0.0000  6 Hg 2.82-3.04
Hg  0.8054  0.8054  0.6107  1 Y 3.04, 1 Pm 3.13
Hg  0.1946  0.1946  0.3893  1 Y 3.04, 1 Pm 3.13
Hg  0.0000  0.5000  0.0000  2 Y 2.82
Hg  0.5000  0.0000  0.0000  2 Y 2.82



--- two ---
Pm2YHg4 | PBE-GGA | optimized geometry

## Properties
* Fermi-level density of states: 0.768 states/eV/atom
* calculated volume: 29.3 A^3/atom
* ρ: 9.6 g/cm3

Lattice parameters (Å, degrees): 5.1544 5.1544 9.3933 74.08 74.08 60.00
Last column: nearest neighbours and their distance in Å.
Atoms (fractional coordinates):
Pm  0.7561  0.7561  0.7318  8 Hg 3.14-3.42
Pm  0.2439  0.2439  0.2682  8 Hg 3.14-3.42
Y  0.0000  0.0000  0.0000  8 Hg 3.15-3.38
Hg  0.8737  0.8737  0.3789  4 Pm 3.14, 1 Y 3.38
Hg  0.1263  0.1263  0.6211  4 Pm 3.14, 1 Y 3.38
Hg  0.6282  0.6282  0.1155  3 Y 3.15, 4 Pm 3.27-3.42
Hg  0.3718  0.3718  0.8845  3 Y 3.15, 4 Pm 3.27-3.42



Which of them is the least stable? Correct choice: one.



--- one ---
PmYHg3 | PBE-GGA | optimized geometry

## Properties
* Fermi-level density of states: 1.087 states/eV/atom
* calculated volume: 26.2 A^3/atom
* ρ: 10.6 g/cm3

Lattice parameters (Å, degrees): 3.6355 4.9388 14.6862 90.00 97.11 90.00
Last column: nearest neighbours and their distance in Å.
Atoms (fractional coordinates):
Pm  0.9240  0.7500  0.8479  12 Hg 3.35-3.59, 2 Pm 3.64
Pm  0.0761  0.2500  0.1521  12 Hg 3.35-3.59, 2 Pm 3.64
Y  0.2104  0.7500  0.4209  7 Hg 3.13-3.17
Y  0.7896  0.2500  0.5791  7 Hg 3.13-3.17
Hg  0.6226  0.7500  0.2451  3 Hg 2.87-3.02, 2 Y 3.14
Hg  0.3774  0.2500  0.7549  3 Hg 2.87-3.02, 2 Y 3.14
Hg  0.5242  0.7500  0.0484  3 Hg 2.84-2.87
Hg  0.4758  0.2500  0.9516  3 Hg 2.84-2.87
Hg  0.6822  0.2500  0.3644  2 Hg 3.02, 5 Y 3.13-3.17
Hg  0.3178  0.7500  0.6356  2 Hg 3.02, 5 Y 3.13-3.17



--- two ---
PmYHg3 | PBE-GGA | optimized geometry

## Properties
* Fermi-level density of states: 0.816 states/eV/atom
* calculated volume: 27.3 A^3/atom
* ρ: 10.1 g/cm3

Lattice parameters (Å, degrees): 7.7120 9.6715 10.2057 46.09 86.63 89.52
Last column: nearest neighbours and their distance in Å.
Atoms (fractional coordinates):
Pm  0.7204  0.3979  0.0704  8 Hg 3.13-3.40
Pm  0.7301  0.9985  0.6200  8 Hg 3.15-3.48
Pm  0.2796  0.6021  0.9296  8 Hg 3.13-3.40
Pm  0.2699  0.0015  0.3800  8 Hg 3.15-3.48
Y  0.2224  0.9042  0.0668  8 Hg 3.09-3.30
Y  0.7776  0.0958  0.9332  8 Hg 3.09-3.30
Y  0.2307  0.5014  0.6158  8 Hg 3.11-3.45
Y  0.7693  0.4986  0.3842  8 Hg 3.11-3.45
Hg  0.4443  0.2470  0.9718  4 Hg 3.01-3.16, 3 Y 3.09-3.21, 2 Pm 3.17-3.24
Hg  0.0760  0.1709  0.6649  3 Hg 2.99-3.12, 3 Y 3.11-3.25
Hg  0.5557  0.7530  0.0282  4 Hg 3.01-3.16, 3 Y 3.09-3.21, 2 Pm 3.17-3.24
Hg  0.9240  0.8291  0.3351  3 Hg 2.99-3.12, 3 Y 3.11-3.25
Hg  0.9447  0.7486  0.9815  4 Hg 3.01-3.34, 3 Y 3.12-3.30, 3 Pm 3.13-3.31
Hg  0.5279  0.8137  0.2954  4 Hg 2.96-3.16, 4 Y 3.09-3.26, 1 Pm 3.15
Hg  0.0553  0.2514  0.0185  4 Hg 3.01-3.34, 3 Y 3.12-3.30, 3 Pm 3.13-3.31
Hg  0.4721  0.1863  0.7046  4 Hg 2.96-3.16, 4 Y 3.09-3.26, 1 Pm 3.15
Hg  0.4217  0.3330  0.3417  3 Hg 2.96-3.10, 3 Pm 3.17-3.31
Hg  0.9711  0.6806  0.7022  4 Hg 2.99-3.34, 1 Y 3.11, 4 Pm 3.13-3.29
Hg  0.5783  0.6670  0.6583  3 Hg 2.96-3.10, 3 Pm 3.17-3.31
Hg  0.0289  0.3194  0.2978  4 Hg 2.99-3.34, 1 Y 3.11, 4 Pm 3.13-3.29



Which of them is the least stable? Correct choice: two.



--- one ---
Pm3Y2Hg2 | PBE-GGA | optimized geometry

## Properties
* Fermi-level density of states: 1.245 states/eV/atom
* calculated volume: 29.2 A^3/atom
* ρ: 8.2 g/cm3

Lattice parameters (Å, degrees): 4.9275 3.5427 11.9794 90.00 78.13 90.00
Last column: nearest neighbours and their distance in Å.
Atoms (fractional coordinates):
Pm  0.8591  0.0000  0.2818  3 Pm 3.30-3.54, 4 Y 3.43, 4 Hg 3.45
Pm  0.0000  0.0000  0.0000  4 Pm 3.30-3.54, 8 Hg 3.46
Pm  0.1409  0.0000  0.7182  3 Pm 3.30-3.54, 4 Y 3.43, 4 Hg 3.45
Y  0.7087  0.5000  0.5827  2 Y 3.13, 1 Hg 3.23, 4 Pm 3.43
Y  0.2913  0.5000  0.4173  2 Y 3.13, 1 Hg 3.23, 4 Pm 3.43
Hg  0.5707  0.5000  0.8586  1 Y 3.23, 3 Hg 3.32-3.54, 8 Pm 3.45-3.46
Hg  0.4293  0.5000  0.1414  1 Y 3.23, 3 Hg 3.32-3.54, 8 Pm 3.45-3.46



--- two ---
Pm3Y2Hg2 | PBE-GGA | optimized geometry

## Properties
* Fermi-level density of states: 1.052 states/eV/atom
* calculated volume: 29.5 A^3/atom
* ρ: 8.2 g/cm3

Lattice parameters (Å, degrees): 5.4441 5.4407 8.6454 108.35 90.00 120.02
Last column: nearest neighbours and their distance in Å.
Atoms (fractional coordinates):
Pm  0.5000  0.0000  0.0000  6 Hg 3.33
Pm  0.6590  0.3181  0.4765  1 Hg 3.12, 3 Pm 3.16-3.17
Pm  0.3410  0.6819  0.5235  1 Hg 3.12, 3 Pm 3.16-3.17
Y  0.9249  0.8498  0.2747  4 Hg 3.31-3.34, 3 Pm 3.53-3.54, 1 Y 3.63
Y  0.0751  0.1502  0.7253  4 Hg 3.31-3.34, 3 Pm 3.53-3.54, 1 Y 3.63
Hg  0.7882  0.5765  0.8639  4 Pm 3.12-3.33, 4 Y 3.31-3.34
Hg  0.2118  0.4235  0.1361  4 Pm 3.12-3.33, 4 Y 3.31-3.34



Which of them is the least stable? Correct choice: one.



--- one ---
Pm4YHg | PBE-GGA | optimized geometry

## Properties
* Fermi-level density of states: 1.318 states/eV/atom
* calculated volume: 31.8 A^3/atom
* ρ: 7.6 g/cm3

Lattice parameters (Å, degrees): 3.6728 3.6728 14.1655 90.00 90.00 90.00
Last column: nearest neighbours and their distance in Å.
Atoms (fractional coordinates):
Pm  0.5000  0.5000  0.1776  4 Y 3.62, 8 Pm 3.63-3.67
Pm  0.0000  0.0000  0.6436  4 Hg 3.30, 8 Pm 3.63-3.67
Pm  0.0000  0.0000  0.3564  4 Hg 3.30, 8 Pm 3.63-3.67
Pm  0.5000  0.5000  0.8224  4 Y 3.62, 8 Pm 3.63-3.67
Y  0.0000  0.0000  0.0000  8 Pm 3.62, 4 Y 3.67
Hg  0.5000  0.5000  0.5000  8 Pm 3.30, 4 Hg 3.67



--- two ---
Pm4YHg | PBE-GGA | optimized geometry

## Properties
* Fermi-level density of states: 1.338 states/eV/atom
* calculated volume: 32.3 A^3/atom
* ρ: 7.5 g/cm3

Lattice parameters (Å, degrees): 6.4837 9.1821 8.3627 113.45 100.01 112.93
Last column: nearest neighbours and their distance in Å.
Atoms (fractional coordinates):
Pm  0.0406  0.1637  0.7628  2 Hg 3.34, 4 Pm 3.37-3.70, 2 Y 3.48-3.59
Pm  0.7590  0.7123  0.6227  2 Hg 3.22-3.24, 3 Pm 3.37-3.42
Pm  0.2222  0.5991  0.7628  2 Hg 3.34, 4 Pm 3.37-3.70, 2 Y 3.48-3.59
Pm  0.3637  0.9103  0.6227  2 Hg 3.22-3.24, 3 Pm 3.37-3.42
Pm  0.6363  0.0897  0.3773  2 Hg 3.22-3.24, 3 Pm 3.37-3.42
Pm  0.7778  0.4009  0.2372  2 Hg 3.34, 4 Pm 3.37-3.70, 2 Y 3.48-3.59
Pm  0.2410  0.2877  0.3773  2 Hg 3.22-3.24, 3 Pm 3.37-3.42
Pm  0.9594  0.8363  0.2372  2 Hg 3.34, 4 Pm 3.37-3.70, 2 Y 3.48-3.59
Y  0.3399  0.5899  0.1798  8 Pm 3.48-3.67
Y  0.6601  0.4101  0.8202  8 Pm 3.48-3.67
Hg  0.2513  0.0013  0.0026  8 Pm 3.22-3.34, 2 Hg 3.24
Hg  0.7487  0.9987  0.9974  8 Pm 3.22-3.34, 2 Hg 3.24



Which of them is the least stable? Correct choice: two.



--- one ---
PmY2Hg | PBE-GGA | optimized geometry

## Properties
* Fermi-level density of states: 1.018 states/eV/atom
* calculated volume: 30.5 A^3/atom
* ρ: 7.1 g/cm3

Lattice parameters (Å, degrees): 6.7849 6.9811 10.3062 90.00 90.00 90.00
Last column: nearest neighbours and their distance in Å.
Atoms (fractional coordinates):
Pm  0.6191  0.4862  0.2500  2 Hg 3.12-3.17
Pm  0.8809  0.9862  0.2500  2 Hg 3.12-3.17
Pm  0.3809  0.5138  0.7500  2 Hg 3.12-3.17
Pm  0.1191  0.0138  0.7500  2 Hg 3.12-3.17
Y  0.1808  0.6914  0.0397  2 Hg 3.06-3.11
Y  0.3192  0.1914  0.4603  2 Hg 3.06-3.11
Y  0.8192  0.3086  0.5397  2 Hg 3.06-3.11
Y  0.6808  0.8086  0.9603  2 Hg 3.06-3.11
Y  0.8192  0.3086  0.9603  2 Hg 3.06-3.11
Y  0.6808  0.8086  0.5397  2 Hg 3.06-3.11
Y  0.1808  0.6914  0.4603  2 Hg 3.06-3.11
Y  0.3192  0.1914  0.0397  2 Hg 3.06-3.11
Hg  0.0698  0.4011  0.2500  4 Y 3.06-3.11, 2 Pm 3.12-3.17
Hg  0.4302  0.9011  0.2500  4 Y 3.06-3.11, 2 Pm 3.12-3.17
Hg  0.9302  0.5989  0.7500  4 Y 3.06-3.11, 2 Pm 3.12-3.17
Hg  0.5698  0.0989  0.7500  4 Y 3.06-3.11, 2 Pm 3.12-3.17



--- two ---
PmY2Hg | PBE-GGA | optimized geometry

## Properties
* Fermi-level density of states: 1.653 states/eV/atom
* calculated volume: 28.6 A^3/atom
* ρ: 7.6 g/cm3

Lattice parameters (Å, degrees): 5.4521 5.4521 5.4521 60.00 60.00 60.00
Last column: nearest neighbours and their distance in Å.
Atoms (fractional coordinates):
Y  0.2500  0.2500  0.2500  4 Hg 3.34, 4 Pm 3.34
Y  0.7500  0.7500  0.7500  4 Hg 3.34, 4 Pm 3.34
Hg  0.5000  0.5000  0.5000  8 Y 3.34
Pm  0.0000  0.0000  0.0000  8 Y 3.34



Which of them is the least stable? Correct choice: two.



--- one ---
PmY2Hg | PBE-GGA | optimized geometry

## Properties
* Fermi-level density of states: 1.172 states/eV/atom
* calculated volume: 30.7 A^3/atom
* ρ: 7.1 g/cm3

Lattice parameters (Å, degrees): 5.1557 6.7132 7.6915 90.00 90.00 112.62
Last column: nearest neighbours and their distance in Å.
Atoms (fractional coordinates):
Pm  0.9467  0.8935  0.2500  1 Hg 3.12
Pm  0.0533  0.1065  0.7500  1 Hg 3.12
Y  0.3602  0.7205  0.5304  3 Hg 2.94-3.17
Y  0.6398  0.2795  0.4696  3 Hg 2.94-3.17
Y  0.3602  0.7205  0.9696  3 Hg 2.94-3.17
Y  0.6398  0.2795  0.0304  3 Hg 2.94-3.17
Hg  0.8012  0.6030  0.7500  6 Y 2.94-3.17, 1 Pm 3.12
Hg  0.1988  0.3970  0.2500  6 Y 2.94-3.17, 1 Pm 3.12



--- two ---
PmY2Hg | PBE-GGA | optimized geometry

## Properties
* Fermi-level density of states: 1.229 states/eV/atom
* calculated volume: 31.0 A^3/atom
* ρ: 7.0 g/cm3

Lattice parameters (Å, degrees): 3.6818 3.6818 10.7577 80.15 80.15 60.00
Last column: nearest neighbours and their distance in Å.
Atoms (fractional coordinates):
Pm  0.5001  0.5001  0.4995  6 Y 3.61-3.62, 6 Pm 3.68
Y  0.0744  0.0744  0.7768  3 Hg 3.18
Y  0.2590  0.2590  0.2231  3 Hg 3.17
Hg  0.6665  0.6665  0.0006  6 Y 3.17-3.18



Which of them is the least stable? Correct choice: two.



--- one ---
PmY2Hg | PBE-GGA | optimized geometry

## Properties
* Fermi-level density of states: 1.274 states/eV/atom
* calculated volume: 28.7 A^3/atom
* ρ: 7.6 g/cm3

Lattice parameters (Å, degrees): 4.8227 4.8750 4.8750 90.00 90.00 90.00
Last column: nearest neighbours and their distance in Å.
Atoms (fractional coordinates):
Y  0.0000  0.0000  0.5000  4 Hg 3.43, 4 Pm 3.43, 4 Y 3.45
Y  0.0000  0.5000  0.0000  4 Hg 3.43, 4 Pm 3.43, 4 Y 3.45
Hg  0.5000  0.0000  0.0000  8 Y 3.43, 4 Pm 3.45
Pm  0.5000  0.5000  0.5000  8 Y 3.43, 4 Hg 3.45



--- two ---
PmY2Hg | PBE-GGA | optimized geometry

## Properties
* Fermi-level density of states: 1.235 states/eV/atom
* calculated volume: 29.7 A^3/atom
* ρ: 7.3 g/cm3

Lattice parameters (Å, degrees): 3.6444 3.6444 8.9504 90.00 90.00 90.00
Last column: nearest neighbours and their distance in Å.
Atoms (fractional coordinates):
Y  0.0000  0.0000  0.7827  4 Hg 3.23, 4 Pm 3.61
Y  0.0000  0.0000  0.2173  4 Hg 3.23, 4 Pm 3.61
Hg  0.5000  0.5000  0.0000  8 Y 3.23
Pm  0.5000  0.5000  0.5000  8 Y 3.61, 4 Pm 3.64



Which of them is the least stable? Correct choice: one.



--- one ---
Pm3ZnHg4 | PBE-GGA | optimized geometry

## Properties
* Fermi-level density of states: 0.673 states/eV/atom
* calculated volume: 25.5 A^3/atom
* ρ: 10.6 g/cm3

Lattice parameters (Å, degrees): 5.2170 5.2282 11.1410 134.68 103.54 90.00
Last column: nearest neighbours and their distance in Å.
Atoms (fractional coordinates):
Pm  0.0000  0.5000  0.0000  8 Hg 3.15
Pm  0.2679  0.3036  0.5358  8 Hg 3.12-3.45, 1 Zn 3.47
Pm  0.7321  0.6964  0.4642  8 Hg 3.12-3.45, 1 Zn 3.47
Zn  0.5000  0.0000  0.0000  8 Hg 3.15-3.16, 2 Pm 3.47
Hg  0.6182  0.8552  0.2365  6 Pm 3.12-3.44, 2 Zn 3.15-3.16
Hg  0.3818  0.1448  0.7635  6 Pm 3.12-3.44, 2 Zn 3.15-3.16
Hg  0.8825  0.6476  0.7650  6 Pm 3.12-3.45, 2 Zn 3.15
Hg  0.1175  0.3524  0.2350  6 Pm 3.12-3.45, 2 Zn 3.15



--- two ---
Pm3ZnHg4 | PBE-GGA | optimized geometry

## Properties
* Fermi-level density of states: 0.713 states/eV/atom
* calculated volume: 26.0 A^3/atom
* ρ: 10.4 g/cm3

Lattice parameters (Å, degrees): 5.1635 5.1635 9.4900 74.21 74.21 60.00
Last column: nearest neighbours and their distance in Å.
Atoms (fractional coordinates):
Zn  0.0000  0.0000  0.0000  8 Hg 3.20-3.42, 6 Pm 3.57
Hg  0.8733  0.8733  0.3800  6 Pm 3.17-3.32, 1 Zn 3.42
Hg  0.3763  0.3763  0.8712  5 Pm 3.09-3.34, 3 Zn 3.20
Hg  0.1267  0.1267  0.6200  6 Pm 3.17-3.32, 1 Zn 3.42
Hg  0.6237  0.6237  0.1288  5 Pm 3.09-3.34, 3 Zn 3.20
Pm  0.2609  0.2609  0.2173  7 Hg 3.09-3.32
Pm  0.7391  0.7391  0.7827  7 Hg 3.09-3.32
Pm  0.5000  0.5000  0.5000  8 Hg 3.17-3.34



Which of them is the least stable? Correct choice: two.